Below is crystalline Y3TmC2S2 at its relaxed geometry, with properties calculated at the PBE level.

Output
Its space-group type is P3m1, No. 156. The calculated total energy comes out at -60.75 eV/cell.

Cell lengths 3.6945, 3.6945, 12.8633 Å; angles 90.00, 90.00, 120.00 degrees
Fractional coordinates of all 8 atoms:
Y1 0.3333 0.6667 0.3956
Y2 0.3333 0.6667 0.1023
Y3 0.0000 0.0000 0.6056
S1 0.0000 0.0000 0.2493
S2 0.3333 0.6667 0.7534
C1 0.6667 0.3333 0.5006
C2 0.6667 0.3333 0.9971
Tm1 0.0000 0.0000 0.8961



Below is crystalline NdCoP2Pd at its relaxed geometry, with properties calculated at the PBE level.

Output
Its space-group type is I-4m2, No. 119. The calculated total energy comes out at -32.22 eV/cell.

Cell lengths 5.6883, 5.6883, 5.6883 Å; angles 138.51, 138.51, 60.13 degrees
Site moments in Bohr magnetons follow the coordinates.
Fractional coordinates of all 5 atoms:
Nd1 0.0000 0.0000 0.0000  0.00
Pd1 0.7500 0.2500 0.5000  0.08
P1 0.3806 0.3806 0.0000  0.01
P2 0.6194 0.6194 0.0000  0.01
Co1 0.2500 0.7500 0.5000  0.71



Below is crystalline LaSn2PdAu at its relaxed geometry, with properties calculated at the PBE level.

Output
Its space-group type is P2_1/m, No. 11. The calculated total energy comes out at -50.24 eV/cell.

Cell lengths 4.6784, 4.6660, 10.8793 Å; angles 90.00, 90.59, 90.00 degrees
Fractional coordinates of all 10 atoms:
Pd1 0.7509 0.7500 0.6225
Pd2 0.2491 0.2500 0.3775
Sn1 0.7514 0.2500 0.4997
Sn2 0.7714 0.7500 0.8607
Sn3 0.2486 0.7500 0.5003
Sn4 0.2286 0.2500 0.1393
La1 0.2578 0.2500 0.7540
La2 0.7422 0.7500 0.2460
Au1 0.7266 0.2500 0.9998
Au2 0.2734 0.7500 0.0002



Below is crystalline ThMg at its relaxed geometry, with properties calculated at the PBE level.

Output
Its space-group type is Pmmn, No. 59. The calculated total energy comes out at -35.16 eV/cell.

Cell lengths 11.8985, 3.3939, 5.6463 Å; angles 90.00, 90.00, 90.00 degrees
Fractional coordinates of all 8 atoms:
Th1 0.5208 0.0000 0.0000
Th2 0.3959 0.5000 0.5000
Th3 0.2514 0.5000 0.0000
Th4 0.6652 0.0000 0.5000
Mg1 0.1428 0.0000 0.5000
Mg2 0.7739 0.5000 0.0000
Mg3 0.9200 0.5000 0.5000
Mg4 0.9967 0.0000 0.0000



Below is crystalline NaCuReSe3 at its relaxed geometry, with properties calculated at the PBE level.

Output
Its space-group type is Cmcm, No. 63. The calculated total energy comes out at -58.45 eV/cell.

Cell lengths 7.1414, 7.1414, 9.6636 Å; angles 90.00, 90.00, 28.24 degrees
Site moments in Bohr magnetons follow the coordinates.
Fractional coordinates of all 12 atoms:
Re1 0.5000 0.5000 0.7500  0.86
Re2 0.5000 0.5000 0.2500  0.91
Cu1 0.0441 0.0441 0.5000  0.05
Cu2 0.9559 0.9559 0.0000  0.05
Na1 0.7409 0.7409 0.5000  0.01
Na2 0.2591 0.2591 0.0000  0.01
Se1 0.1328 0.1328 0.2901  0.03
Se2 0.1328 0.1328 0.7099  0.03
Se3 0.5784 0.5784 0.0000  0.00
Se4 0.4216 0.4216 0.5000  0.00
Se5 0.8672 0.8672 0.2099  0.03
Se6 0.8672 0.8672 0.7901  0.03



Below is crystalline GdEr2N3 at its relaxed geometry, with properties calculated at the PBE level.

Output
Its space-group type is P-3m1, No. 164. The calculated total energy comes out at -49.09 eV/cell.

Cell lengths 3.4476, 3.4476, 8.4392 Å; angles 90.00, 90.00, 120.00 degrees
Fractional coordinates of all 6 atoms:
Er1 0.6667 0.3333 0.1642
Er2 0.3333 0.6667 0.8358
Gd1 0.0000 0.0000 0.5000
N1 0.6667 0.3333 0.6722
N2 0.3333 0.6667 0.3278
N3 0.0000 0.0000 0.0000



Please write out number 6 again, unchanged.
Below is crystalline GdEr2N3 at its relaxed geometry, with properties calculated at the PBE level.

Output
Its space-group type is P-3m1, No. 164. The calculated total energy comes out at -49.09 eV/cell.

Cell lengths 3.4476, 3.4476, 8.4392 Å; angles 90.00, 90.00, 120.00 degrees
Fractional coordinates of all 6 atoms:
Er1 0.6667 0.3333 0.1642
Er2 0.3333 0.6667 0.8358
Gd1 0.0000 0.0000 0.5000
N1 0.6667 0.3333 0.6722
N2 0.3333 0.6667 0.3278
N3 0.0000 0.0000 0.0000



Q: The lowest calculated total energy belongs to which entry?
A: Y3TmC2S2